Computed, not measured: crystalline MnSe2NCl at its relaxed geometry at the PBE level of DFT.

Cell: 5.231 5.231 3.445 Å, 90.00 90.00 90.00°
Space group P4/mmm (No. 123)
Inequivalent atoms, fractional coordinates:
Mn (0.000, 0.000, 0.000) (multiplicity 1)
Se (0.000, 0.500, 0.500) (multiplicity 2)
N (0.500, 0.500, 0.000) (multiplicity 1)
Cl (0.500, 0.500, 0.500) (multiplicity 1)

Computed properties:
The total energy comes out at -3.84 eV/atom. The density of states at the Fermi level is 0.477 states/eV per atom. Its crystal system is tetragonal.